No. 1
VASP calculation (PBE) on an optimized crystal structure of AcSm2Ag2.

Unit cell a=3.746 b=3.777 c=10.908 alpha=80.03 beta=90.00 gamma=90.00
Element x y z (fractional)
1 Ag 0.500 0.601 0.799
2 Ag 0.500 0.399 0.201
3 Sm 0.000 0.180 0.641
4 Sm 0.000 0.820 0.359
5 Ac 0.000 0.000 0.000

Results
The value obtained for the formation energy is -88 meV per atom. The calculation puts the energy above the lowest structure with this stoichiometry at 5.54 kJ per mole of atoms. The value obtained for the volume is 30.4 A^3/atom.

=====

No. 2
VASP calculation (PBE) on an optimized crystal structure of AcSm2Ag.

Unit cell a=5.190 b=6.656 c=8.261 alpha=90.00 beta=90.00 gamma=112.95
Element x y z (fractional)
1 Sm 0.646 0.291 0.463
2 Sm 0.354 0.709 0.963
3 Sm 0.354 0.709 0.537
4 Sm 0.646 0.291 0.037
5 Ac 0.946 0.891 0.250
6 Ac 0.054 0.109 0.750
7 Ag 0.791 0.582 0.750
8 Ag 0.209 0.418 0.250

Results
The value obtained for the formation energy is -77 meV per atom. The calculation puts the energy above the lowest structure with this stoichiometry at 2.26 kJ per mole of atoms. The value obtained for the volume is 32.8 A^3/atom.

=====

No. 3
VASP calculation (PBE) on an optimized crystal structure of Ac2SmAg.

Unit cell a=3.936 b=3.936 c=9.185 alpha=90.00 beta=90.00 gamma=90.00
Element x y z (fractional)
1 Ag 0.500 0.500 0.000
2 Sm 0.500 0.500 0.500
3 Ac 0.000 0.000 0.217
4 Ac 0.000 0.000 0.783

Results
The value obtained for the formation energy is -95 meV per atom. The calculation puts the energy above the lowest structure with this stoichiometry at 0.00 kJ per mole of atoms. The value obtained for the volume is 35.6 A^3/atom.

=====

Question: Number 3 is which compound?
Answer: Ac2SmAg